P | Density functional theory data (GGA-PBE) for Li4AsPd5 after structural relaxation.

Density of states at the Fermi level, states/eV/f.u.: 5.07
SG: Pmmn

a b c (Å): 5.456 7.004 8.766
angles (deg): 90.00 90.00 90.00
Fractional positions:
Li 0.000 0.791 0.003
Li 0.745 0.000 0.518
Li 0.255 0.000 0.518
Li 0.000 0.209 0.003
Li 0.500 0.291 0.997
Li 0.755 0.500 0.482
Li 0.245 0.500 0.482
Li 0.500 0.709 0.997
As 0.000 0.000 0.762
As 0.500 0.500 0.238
Pd 0.748 0.814 0.262
Pd 0.252 0.814 0.262
Pd 0.500 0.000 0.800
Pd 0.748 0.186 0.262
Pd 0.252 0.186 0.262
Pd 0.752 0.314 0.738
Pd 0.248 0.314 0.738
Pd 0.000 0.500 0.200
Pd 0.248 0.686 0.738
Pd 0.752 0.686 0.738



Q | Density functional theory data (GGA-PBE) for Li4AsPd5 after structural relaxation.

Density of states at the Fermi level, states/eV/f.u.: 3.55
SG: I4

a b c (Å): 4.688 6.077 6.077
angles (deg): 81.45 67.32 67.32
Fractional positions:
Li 0.242 0.388 0.001
Li 0.631 0.001 0.612
Li 0.243 0.999 0.388
Li 0.632 0.612 0.999
As 0.164 0.000 0.000
Pd 0.981 0.325 0.674
Pd 0.306 0.674 0.675
Pd 0.655 0.326 0.325
Pd 0.980 0.675 0.326
Pd 0.676 0.000 0.000



Least stable = P